SmGa6Ru4 | PBE | relaxed

Geometry as POSCAR:
```
SmGa6Ru4
1.0
-6.4728 0.4150 1.2532
3.3793 -5.4259 1.6676
4.3027 3.6549 3.4305
Sm Ga Ru
1 6 4
direct
0.0000 0.0000 0.0000
0.0000 0.8944 0.5193
0.0000 0.5193 0.8944
0.6249 0.1056 0.1056
0.5000 0.0000 0.5000
0.3751 0.4807 0.4807
0.5000 0.5000 0.0000
0.0000 0.2548 0.5782
0.6766 0.4218 0.4218
0.0000 0.5782 0.2548
0.3234 0.7452 0.7452
```

Calculated values
* E_tot: -62.43 eV per cell
* calculated formation energy: -0.222 eV per atom
* DOS at the Fermi energy: 8.2 states/eV/cell
* size of the total moment: 0.0 Bohr magnetons per cell

---

Sm12Ga6Ru | PBE | relaxed

Geometry as POSCAR:
```
Sm12Ga6Ru
1.0
8.5293 -0.0364 -0.0436
-1.3291 8.4252 -0.0436
-1.3291 -1.5485 8.2818
Sm Ga Ru
12 6 1
direct
0.8181 0.5695 0.4336
0.4336 0.8181 0.5695
0.5695 0.4336 0.8181
0.1819 0.4305 0.5664
0.5664 0.1819 0.4305
0.4305 0.5664 0.1819
0.0645 0.9679 0.3177
0.0321 0.6823 0.9355
0.6823 0.9355 0.0321
0.9355 0.0321 0.6823
0.9679 0.3177 0.0645
0.3177 0.0645 0.9679
0.6985 0.8640 0.3704
0.6296 0.3015 0.1360
0.1360 0.6296 0.3015
0.3015 0.1360 0.6296
0.3704 0.6985 0.8640
0.8640 0.3704 0.6985
0.0000 0.0000 0.0000
```

Calculated values
* E_tot: -87.96 eV per cell
* calculated formation energy: -0.205 eV per atom
* DOS at the Fermi energy: 26.5 states/eV/cell
* size of the total moment: 0.0 Bohr magnetons per cell

---

Sm3Ga4Ru2 | PBE | relaxed

Geometry as POSCAR:
```
Sm3Ga4Ru2
1.0
4.4511 0.0000 0.0000
-2.2255 5.2591 -0.0659
0.0000 -2.2203 8.1460
Sm Ga Ru
3 4 2
direct
0.6274 0.2548 0.6930
0.0000 0.0000 0.0000
0.3726 0.7452 0.3070
0.7183 0.4367 0.0754
0.2817 0.5633 0.9246
0.9040 0.8080 0.5932
0.0960 0.1920 0.4068
0.6848 0.3695 0.3583
0.3152 0.6305 0.6417
```

Calculated values
* E_tot: -49.83 eV per cell
* calculated formation energy: -0.557 eV per atom
* DOS at the Fermi energy: 5.5 states/eV/cell
* size of the total moment: 0.0 Bohr magnetons per cell

---

Sm2Ga9Ru3 | PBE | relaxed

Geometry as POSCAR:
```
Sm2Ga9Ru3
1.0
7.5209 0.0209 0.0000
-3.6886 6.5543 0.0000
0.0000 0.0000 9.8062
Sm Ga Ru
4 18 6
direct
0.9979 0.6733 0.2500
0.0021 0.3267 0.7500
0.6733 0.9979 0.2500
0.3267 0.0021 0.7500
0.1325 0.1325 0.2500
0.8675 0.8675 0.7500
0.0093 0.3369 0.0747
0.9907 0.6631 0.9253
0.9907 0.6631 0.5747
0.3369 0.0093 0.4253
0.0093 0.3369 0.4253
0.6631 0.9907 0.5747
0.6631 0.9907 0.9253
0.3369 0.0093 0.0747
0.3387 0.3387 0.5589
0.6613 0.6613 0.4411
0.6613 0.6613 0.0589
0.3387 0.3387 0.9411
0.3387 0.5513 0.2500
0.6613 0.4487 0.7500
0.5513 0.3387 0.2500
0.4487 0.6613 0.7500
0.6754 0.3246 0.0000
0.3246 0.6754 0.0000
0.3246 0.6754 0.5000
0.6754 0.3246 0.5000
0.0000 0.0000 0.0000
0.0000 0.0000 0.5000
```

Calculated values
* E_tot: -144.27 eV per cell
* calculated formation energy: -0.545 eV per atom
* DOS at the Fermi energy: 13.8 states/eV/cell
* size of the total moment: 0.0 Bohr magnetons per cell

---

Sm2Ga3Ru | PBE | relaxed

Geometry as POSCAR:
```
Sm2Ga3Ru
1.0
4.5125 0.0000 0.0000
0.0000 5.4322 0.0000
-2.2563 -2.7161 5.3722
Sm Ga Ru
2 3 1
direct
0.7000 0.2000 0.4001
0.3000 0.8000 0.5999
0.3828 0.3828 0.7655
0.0000 0.0000 0.0000
0.6172 0.6172 0.2345
0.0000 0.5000 0.0000
```

Calculated values
* E_tot: -29.51 eV per cell
* calculated formation energy: -0.287 eV per atom
* DOS at the Fermi energy: 4.3 states/eV/cell
* size of the total moment: 0.0 Bohr magnetons per cell

---

Sm4Ga3Ru | PBE | relaxed

Geometry as POSCAR:
```
Sm4Ga3Ru
1.0
4.2774 0.0000 0.0000
0.0000 4.2457 0.0000
0.0000 0.0000 10.8332
Sm Ga Ru
4 3 1
direct
0.5000 0.5000 0.3461
0.0000 0.5000 0.8681
0.0000 0.0000 0.1383
0.5000 0.0000 0.6429
0.0000 0.5000 0.5731
0.0000 0.0000 0.4271
0.5000 0.0000 0.9327
0.5000 0.5000 0.0717
```

Calculated values
* E_tot: -41.40 eV per cell
* calculated formation energy: -0.521 eV per atom
* DOS at the Fermi energy: 7.0 states/eV/cell
* size of the total moment: 0.0 Bohr magnetons per cell

---

Sm2Ga9Ru5 | PBE | relaxed

Geometry as POSCAR:
```
Sm2Ga9Ru5
1.0
-6.0158 -3.9323 -3.7368
-3.5970 -5.6710 4.5297
1.9408 7.7912 1.0708
Sm Ga Ru
2 9 5
direct
0.0000 0.5000 0.5000
0.5000 0.0000 0.5000
0.4407 0.8594 0.0000
0.1406 0.1406 0.5813
0.8594 0.4407 0.0000
0.8594 0.8594 0.4187
0.5593 0.1406 0.0000
0.1406 0.5593 0.0000
0.5593 0.5593 0.4187
0.0000 0.0000 0.0000
0.4407 0.4407 0.5813
0.1796 0.1796 0.0000
0.8204 0.8204 0.0000
0.2500 0.7500 0.5000
0.7500 0.2500 0.5000
0.5000 0.5000 0.0000
```

Calculated values
* E_tot: -91.23 eV per cell
* calculated formation energy: -0.511 eV per atom
* DOS at the Fermi energy: 3.8 states/eV/cell
* size of the total moment: 0.0 Bohr magnetons per cell

---

SmGa2Ru2 | PBE | relaxed

Geometry as POSCAR:
```
SmGa2Ru2
1.0
4.0250 0.2032 -1.4759
-0.7404 3.9247 -1.5712
-0.0324 -0.1314 5.8770
Sm Ga Ru
1 2 2
direct
0.0000 0.0000 0.0000
0.3889 0.3567 0.7456
0.6111 0.6433 0.2544
0.7698 0.2698 0.5000
0.2302 0.7302 0.5000
```

Calculated values
* E_tot: -31.33 eV per cell
* calculated formation energy: -0.400 eV per atom
* DOS at the Fermi energy: 5.3 states/eV/cell
* size of the total moment: 0.0 Bohr magnetons per cell

---

Sm2Ga3Ru | PBE | relaxed

Geometry as POSCAR:
```
Sm2Ga3Ru
1.0
3.9426 0.0000 1.6511
1.7220 5.2978 1.4208
-0.1674 -0.0405 5.9322
Sm Ga Ru
2 3 1
direct
0.5547 0.2042 0.6864
0.4501 0.8023 0.2975
0.8457 0.6138 0.6948
0.8246 0.2438 0.1070
0.1710 0.7504 0.9075
0.1539 0.3854 0.3068
```

Calculated values
* E_tot: -31.19 eV per cell
* calculated formation energy: -0.566 eV per atom
* DOS at the Fermi energy: 4.0 states/eV/cell
* size of the total moment: 0.0 Bohr magnetons per cell

---

SmGa2Ru | PBE | relaxed

Geometry as POSCAR:
```
SmGa2Ru
1.0
-1.0855 -2.5083 -1.7002
1.1582 -2.0123 2.2293
-6.1560 0.3078 3.4760
Ru Ga Sm
1 2 1
direct
0.5000 0.5000 0.0000
0.0000 0.0000 0.8077
0.0000 0.0000 0.1923
0.5000 0.5000 0.5000
```

Calculated values
* E_tot: -21.70 eV per cell
* calculated formation energy: -0.413 eV per atom
* DOS at the Fermi energy: 2.3 states/eV/cell
* size of the total moment: 0.0 Bohr magnetons per cell

---

SmGa3Ru | PBE | relaxed

Geometry as POSCAR:
```
SmGa3Ru
1.0
-4.5340 -0.6341 -1.1979
-0.6847 -2.5378 3.9350
-1.1697 3.9435 2.3398
Ru Ga Sm
1 3 1
direct
0.0000 0.0000 0.0000
0.0000 0.5000 0.0000
0.0000 0.0000 0.5000
0.5000 0.0000 0.0000
0.5000 0.5000 0.5000
```

Calculated values
* E_tot: -24.83 eV per cell
* ΔE to the lowest computed polymorph: 0.219 eV per atom
* calculated formation energy: -0.352 eV per atom
* DOS at the Fermi energy: 1.7 states/eV/cell
* size of the total moment: 0.0 Bohr magnetons per cell

---

SmGaRu2 | PBE | relaxed

Geometry as POSCAR:
```
SmGaRu2
1.0
-0.9920 -0.5509 3.0916
0.0722 -3.2453 -0.5551
6.1354 -0.1944 1.9340
Ru Ga Sm
2 1 1
direct
0.0000 0.0000 0.7904
0.0000 0.0000 0.2096
0.5000 0.5000 0.0000
0.5000 0.5000 0.5000
```

Calculated values
* E_tot: -26.94 eV per cell
* calculated formation energy: -0.160 eV per atom
* DOS at the Fermi energy: 4.6 states/eV/cell
* size of the total moment: 0.0 Bohr magnetons per cell

---

Sm2GaRu2 | PBE | relaxed

Geometry as POSCAR:
```
Sm2GaRu2
1.0
-3.5102 3.2374 -2.8838
-2.1141 -3.8498 3.6469
1.8179 6.1179 4.6553
Sm Ga Ru
4 2 4
direct
0.4924 0.2891 0.1443
0.2033 0.7109 0.3557
0.5076 0.7109 0.8557
0.7967 0.2891 0.6443
0.8791 0.0000 0.2500
0.1209 0.0000 0.7500
0.7098 0.7224 0.4861
0.9874 0.2776 0.0139
0.2902 0.2776 0.5139
0.0126 0.7224 0.9861
```

Calculated values
* E_tot: -66.24 eV per cell
* calculated formation energy: -0.421 eV per atom
* DOS at the Fermi energy: 8.7 states/eV/cell
* size of the total moment: 0.0 Bohr magnetons per cell

---

SmGa2Ru | PBE | relaxed

Geometry as POSCAR:
```
SmGa2Ru
1.0
4.2435 0.0000 0.0000
-2.1217 3.5452 -1.0045
0.0000 -0.9673 5.5572
Sm Ga Ru
1 2 1
direct
0.7500 0.5000 0.2500
0.9641 0.9283 0.8920
0.5359 0.0717 0.6080
0.2500 0.5000 0.7500
```

Calculated values
* E_tot: -22.04 eV per cell
* calculated formation energy: -0.498 eV per atom
* DOS at the Fermi energy: 2.3 states/eV/cell
* size of the total moment: 0.0 Bohr magnetons per cell

---

SmGa3Ru | PBE | relaxed

Geometry as POSCAR:
```
SmGa3Ru
1.0
6.4989 0.0000 0.0000
0.0000 6.4989 0.0000
0.0000 0.0000 6.4989
Sm Ga Ru
3 9 3
direct
0.0000 0.5000 0.5000
0.5000 0.0000 0.5000
0.5000 0.5000 0.0000
0.5000 0.5000 0.5000
0.2082 0.2082 0.2082
0.7918 0.7918 0.2082
0.7918 0.2082 0.7918
0.2082 0.7918 0.7918
0.2082 0.2082 0.7918
0.7918 0.7918 0.7918
0.2082 0.7918 0.2082
0.7918 0.2082 0.2082
0.5000 0.0000 0.0000
0.0000 0.5000 0.0000
0.0000 0.0000 0.5000
```

Calculated values
* E_tot: -77.78 eV per cell
* ΔE to the lowest computed polymorph: 0.000 eV per atom
* calculated formation energy: -0.570 eV per atom
* DOS at the Fermi energy: 8.7 states/eV/cell
* size of the total moment: 0.0 Bohr magnetons per cell

---

SmGa3Ru3 | PBE | relaxed

Geometry as POSCAR:
```
SmGa3Ru3
1.0
-6.1610 0.1078 -2.6171
2.5444 -1.3428 -6.0450
-0.6223 -6.5578 1.1948
Ru Ga Sm
6 6 2
direct
0.0000 0.2500 0.5000
0.0000 0.7500 0.5000
0.5000 0.0000 0.7500
0.7500 0.5000 0.0000
0.5000 0.0000 0.2500
0.2500 0.5000 0.0000
0.2500 0.0000 0.5000
0.0000 0.5000 0.2500
0.5000 0.7500 0.0000
0.7500 0.0000 0.5000
0.0000 0.5000 0.7500
0.5000 0.2500 0.0000
0.5000 0.5000 0.5000
0.0000 0.0000 0.0000
```

Calculated values
* E_tot: -79.33 eV per cell
* ΔE to the lowest computed polymorph: 0.000 eV per atom
* calculated formation energy: 0.280 eV per atom
* DOS at the Fermi energy: 10.9 states/eV/cell
* size of the total moment: 0.0 Bohr magnetons per cell

---

Sm5Ga2Ru | PBE | relaxed

Geometry as POSCAR:
```
Sm5Ga2Ru
1.0
-2.9671 -1.5686 -3.1969
4.3915 -6.2493 -1.0094
-6.1929 -5.7347 8.5616
Sm Ga Ru
10 4 2
direct
0.0000 0.0000 0.5000
0.0000 0.5000 0.0000
0.0000 0.8531 0.2070
0.0000 0.1469 0.7930
0.0000 0.6469 0.7070
0.0000 0.3531 0.2930
0.5000 0.6855 0.4234
0.5000 0.3145 0.5766
0.5000 0.8145 0.9234
0.5000 0.1855 0.0766
0.5000 0.5695 0.1668
0.5000 0.4305 0.8332
0.5000 0.9305 0.6668
0.5000 0.0695 0.3332
0.0000 0.5000 0.5000
0.0000 0.0000 0.0000
```

Calculated values
* E_tot: -84.48 eV per cell
* calculated formation energy: -0.414 eV per atom
* DOS at the Fermi energy: 12.8 states/eV/cell
* size of the total moment: 0.0 Bohr magnetons per cell

---

Sm2TaGa2Ru5 | PBE | relaxed

Geometry as POSCAR:
```
Sm2TaGa2Ru5
1.0
3.3377 0.0000 0.0000
0.0000 10.2193 0.0000
0.0000 0.0000 10.2193
Sm Ta Ga Ru
4 2 4 10
direct
0.0000 0.6716 0.1716
0.0000 0.3284 0.8284
0.0000 0.1716 0.3284
0.0000 0.8284 0.6716
0.0000 0.0000 0.0000
0.0000 0.5000 0.5000
0.0000 0.1273 0.6273
0.0000 0.8727 0.3727
0.0000 0.6273 0.8727
0.0000 0.3727 0.1273
0.5000 0.1977 0.0655
0.5000 0.8023 0.9345
0.5000 0.0655 0.8023
0.5000 0.6977 0.4345
0.5000 0.9345 0.1977
0.5000 0.3023 0.5655
0.5000 0.5655 0.6977
0.5000 0.4345 0.3023
0.5000 0.5000 0.0000
0.5000 0.0000 0.5000
```

Calculated values
* E_tot: -154.46 eV per cell
* calculated formation energy: -0.351 eV per atom
* DOS at the Fermi energy: 15.8 states/eV/cell
* size of the total moment: 0.0 Bohr magnetons per cell

---

TbSmGaRu | PBE | relaxed

Geometry as POSCAR:
```
TbSmGaRu
1.0
-2.6575 2.6902 1.2748
-0.0697 -1.9121 3.8898
5.3601 1.8571 1.0090
Tb Sm Ga Ru
1 1 1 1
direct
0.8601 0.5000 0.7203
0.1428 0.0000 0.2857
0.5645 0.5000 0.1290
0.4325 0.0000 0.8650
```

Calculated values
* E_tot: -23.46 eV per cell
* ΔE to the lowest computed polymorph: 0.000 eV per atom
* calculated formation energy: -0.451 eV per atom
* DOS at the Fermi energy: 3.4 states/eV/cell
* size of the total moment: 0.0 Bohr magnetons per cell

---

TbSmGaRu | PBE | relaxed

Geometry as POSCAR:
```
TbSmGaRu
1.0
4.9983 0.0000 0.0000
2.4992 4.3287 0.0000
2.4992 1.4429 4.0811
Ru Tb Ga Sm
1 1 1 1
direct
0.2500 0.2500 0.2500
0.0000 0.0000 0.0000
0.7500 0.7500 0.7500
0.5000 0.5000 0.5000
```

Calculated values
* E_tot: -23.23 eV per cell
* ΔE to the lowest computed polymorph: 0.057 eV per atom
* calculated formation energy: -0.394 eV per atom
* DOS at the Fermi energy: 2.4 states/eV/cell
* size of the total moment: 0.0 Bohr magnetons per cell

---

Sm2V2GaRu5 | PBE | relaxed

Geometry as POSCAR:
```
Sm2V2GaRu5
1.0
-1.6588 -2.5566 -0.9131
8.4581 -3.8505 -4.5846
2.5791 -4.8180 8.8045
Sm V Ga Ru
4 4 2 10
direct
0.0000 0.6734 0.1734
0.0000 0.3266 0.8266
0.0000 0.1734 0.3266
0.0000 0.8266 0.6734
0.0000 0.1295 0.6295
0.0000 0.8705 0.3705
0.0000 0.6295 0.8705
0.0000 0.3705 0.1295
0.0000 0.0000 0.0000
0.0000 0.5000 0.5000
0.5000 0.2019 0.0634
0.5000 0.7981 0.9366
0.5000 0.0634 0.7981
0.5000 0.7019 0.4366
0.5000 0.9366 0.2019
0.5000 0.2981 0.5634
0.5000 0.5634 0.7019
0.5000 0.4366 0.2981
0.5000 0.5000 0.0000
0.5000 0.0000 0.5000
```

Calculated values
* E_tot: -157.13 eV per cell
* calculated formation energy: -0.148 eV per atom
* DOS at the Fermi energy: 14.6 states/eV/cell
* size of the total moment: 0.0 Bohr magnetons per cell

---

SmYGaRu | PBE | relaxed

Geometry as POSCAR:
```
SmYGaRu
1.0
4.9943 0.0000 0.0000
2.4972 4.3252 0.0000
2.4972 1.4417 4.0778
Y Ru Ga Sm
1 1 1 1
direct
0.5000 0.5000 0.5000
0.7500 0.7500 0.7500
0.2500 0.2500 0.2500
0.0000 0.0000 0.0000
```

Calculated values
* E_tot: -25.09 eV per cell
* ΔE to the lowest computed polymorph: 0.049 eV per atom
* calculated formation energy: -0.401 eV per atom
* DOS at the Fermi energy: 2.4 states/eV/cell
* size of the total moment: 0.0 Bohr magnetons per cell